1.
12
Lattice="-3.376 6.437 3.236 3.376 -6.437 3.236 3.376 6.437 -3.236" Properties=species:S:1:pos:R:3 comment="HoEr2PaFe2 (GGA-PBE, relaxed)" e_form_kcal_per_mol_atoms=-1.1 total_magnetization_mub_per_cell=0.00 rho_g_cm3=9.94 sg=Ibam dos_ef_per_ev_atom=0.865 pbc="T T T"
Ho 0.000 0.000 1.618
Ho 0.000 0.000 4.854
Er 4.639 2.602 0.000
Er 1.263 3.835 0.000
Er 2.113 2.602 3.236
Er -1.263 3.835 3.236
Pa 3.376 0.000 1.618
Pa 0.000 6.437 1.618
Fe 2.051 1.252 0.000
Fe 2.051 -1.252 3.236
Fe 1.324 7.689 0.000
Fe 1.324 5.185 3.236

---

2.
4
Lattice="3.268 0.000 0.000 0.000 3.268 0.000 0.000 0.000 7.995" Properties=species:S:1:pos:R:3 comment="YCo2Cl (GGA-PBE, relaxed)" formation_energy_uncorrected_ev_per_atom=-0.264 total_magnetization_mub_per_cell=2.67 rho_g_cm3=4.71 sg=P4mm dos_ef_per_ev_atom=0.848 pbc="T T T"
Y 0.000 0.000 0.000
Co 0.000 0.000 5.402
Co 1.634 1.634 5.992
Cl 1.634 1.634 1.655

---

3.
12
Lattice="6.921 -2.070 0.000 6.921 2.070 0.000 -3.265 0.000 11.897" Properties=species:S:1:pos:R:3 comment="La4ScSe7 (GGA-PBE, relaxed)" formation_energy_uncorrected_ev_per_atom=-1.951 total_magnetization_mub_per_cell=0.00 rho_g_cm3=5.62 sg=Cm dos_ef_per_ev_atom=0.144 pbc="T T T"
La 0.000 0.000 0.000
La 0.258 0.000 9.123
La 7.004 0.000 4.364
La 10.556 0.000 6.620
Sc 10.278 0.000 1.634
Se 1.646 0.000 2.531
Se 1.526 0.000 6.111
Se 4.907 0.000 0.701
Se 5.676 0.000 7.344
Se 5.729 0.000 11.058
Se 9.312 0.000 9.272
Se 11.755 0.000 3.909

---

4.
4
Lattice="1.603 0.925 10.129 -1.603 0.925 10.129 0.000 -1.851 10.129" Properties=species:S:1:pos:R:3 comment="Pu2PaTi (GGA-PBE, relaxed)" e_form_kcal_per_mol_atoms=4.6 total_magnetization_mub_per_cell=9.86 rho_g_cm3=14.13 sg=R-3m dos_ef_per_ev_atom=3.450 pbc="T T T"
Pu 0.000 0.000 7.513
Pu 0.000 0.000 22.875
Pa 0.000 0.000 0.000
Ti 0.000 0.000 15.194